Below is a geometry-optimized NaPr2CrO5 structure, with properties calculated at the GGA+U level.

The value obtained for the total energy is -7.24 eV per atom. The total magnetization comes out at 0.3331 μB/atom. The space group is P4/mbm.

```
NaPr2CrO5
1.0
6.827 0.000 0.000
0.000 6.827 0.000
0.000 0.000 5.809
Na Pr Cr O
2 4 2 10
direct
0.000 0.000 0.000 Na
0.500 0.500 0.000 Na
0.178 0.322 0.500 Pr
0.322 0.822 0.500 Pr
0.678 0.178 0.500 Pr
0.822 0.678 0.500 Pr
0.000 0.500 0.000 Cr
0.500 0.000 0.000 Cr
0.000 0.000 0.500 O
0.134 0.634 0.240 O
0.134 0.634 0.760 O
0.366 0.134 0.240 O
0.366 0.134 0.760 O
0.500 0.500 0.500 O
0.634 0.866 0.240 O
0.634 0.866 0.760 O
0.866 0.366 0.240 O
0.866 0.366 0.760 O
```